# GGA-PBE Sr3Li2Zn4, relaxed
data_Sr3Li2Zn4
_cell_length_a 4.491
_cell_length_b 6.240
_cell_length_c 9.402
_cell_angle_alpha 99.13
_cell_angle_beta 90.00
_cell_angle_gamma 111.09
_symmetry_space_group_name_H-M 'P 1'
_symmetry_Int_Tables_number 1
_symmetry_space_group_name_Hall 'P 1'
loop_
_atom_site_label
_atom_site_type_symbol
_atom_site_fract_x
_atom_site_fract_y
_atom_site_fract_z
Sr1 Sr 0.381 0.762 0.621
Sr2 Sr 0.619 0.238 0.379
Sr3 Sr 0.000 0.000 0.000
Zn1 Zn 0.901 0.802 0.347
Zn2 Zn 0.264 0.528 0.925
Zn3 Zn 0.736 0.472 0.075
Zn4 Zn 0.099 0.198 0.653
Li1 Li 0.314 0.628 0.215
Li2 Li 0.686 0.372 0.785
# * formation energy: -166 meV/atom
# * SG: No. 12
# * DOS(E_F): 4.9 states/eV/cell
# * electronic total energy: -1.718 eV per atom